(1)
The following is a GGA-PBE calculation of crystalline Rb3CaU2O9 at its relaxed geometry, from the Alexandria database.

Output
V (Å³ per atom): 16.93
ΔE_f (raw) (eV per atom): -2.64

a b c (Å): 6.218 6.218 7.586
angles (deg): 90.00 90.00 120.00
Site moments in Bohr magnetons follow the coordinates.
Atoms (fractional coordinates):
1 Rb 0.333 0.667 0.659  0.00
2 Rb 0.000 0.000 0.000  0.00
3 Rb 0.667 0.333 0.341  0.00
4 Ca 0.000 0.000 0.500  0.00
5 U 0.333 0.667 0.165  -0.01
6 U 0.667 0.333 0.835  -0.01
7 O 0.821 0.179 0.684  0.11
8 O 0.821 0.641 0.684  0.11
9 O 0.359 0.179 0.684  0.11
10 O 0.641 0.821 0.316  0.11
11 O 0.179 0.359 0.316  0.11
12 O 0.179 0.821 0.316  0.11
13 O 0.500 0.000 0.000  0.06
14 O 0.000 0.500 0.000  0.06
15 O 0.500 0.500 0.000  0.06

(2)
The following is a GGA-PBE calculation of crystalline ZnIn5Hg2 at its relaxed geometry, from the Alexandria database.

Output
Energy relative to the elements (eV/atom): 0.0514
V (Å³ per atom): 25.67

a b c (Å): 4.719 6.371 14.708
angles (deg): 90.00 90.00 111.74
Atoms (fractional coordinates):
1 Zn 0.784 0.568 0.750
2 Zn 0.216 0.432 0.250
3 In 0.953 0.907 0.895
4 In 0.953 0.907 0.605
5 In 0.364 0.727 0.461
6 In 0.364 0.727 0.039
7 In 0.481 0.962 0.250
8 In 0.519 0.038 0.750
9 In 0.636 0.273 0.539
10 In 0.636 0.273 0.961
11 In 0.047 0.093 0.105
12 In 0.047 0.093 0.395
13 Hg 0.763 0.525 0.355
14 Hg 0.763 0.525 0.145
15 Hg 0.237 0.475 0.645
16 Hg 0.237 0.475 0.855

(3)
The following is a GGA-PBE calculation of crystalline TaCd2Cl at its relaxed geometry, from the Alexandria database.

Output
V (Å³ per atom): 22.81
ΔE_f (raw) (eV per atom): -0.04
Excess energy over the best structure of this formula in the dataset (meV/atom): 0

a b c (Å): 3.013 3.013 11.158
angles (deg): 90.00 90.00 115.74
Atoms (fractional coordinates):
1 Cl 0.000 0.000 0.572
2 Cd 0.000 0.000 0.968
3 Cd 0.500 0.500 0.215
4 Ta 0.500 0.500 0.745

Looking at N(E_F) for the records above, in order, we have 13.39 3.18 2.47 states/eV/f.u..
Looking at electronic total energy for the records above, in order, we have -111.7 -30.3 -15.7 eV/cell.